The following is a GGA-PBE calculation of a relaxed structure of PuTl2Br8, from Alexandria via LeMat-Bulk.

Space group: No. 12
Energy relative to the elements, uncorrected, eV per atom: -0.83
Crystal system: monoclinic
Total DFT energy (no corrections), eV for the cell shown: -41.55

Lattice parameters (Å, degrees): 7.298 8.494 8.494 90.70 75.31 75.31
Element x y z (fractional)
Pu 0.000 0.000 0.000
Tl 0.182 0.305 0.305
Tl 0.818 0.695 0.695
Br 0.847 0.049 0.734
Br 0.153 0.266 0.951
Br 0.664 0.198 0.198
Br 0.336 0.802 0.802
Br 0.847 0.734 0.049
Br 0.153 0.951 0.266
Br 0.229 0.536 0.536
Br 0.771 0.464 0.464